1.
DFT (PBE-GGA) results for a relaxed MnAs2Ir crystal.

Structure (POSCAR):
```
MnAs2Ir
1.0
2.935 0.000 0.000
0.000 2.935 0.000
0.000 0.000 8.082
Mn As Ir
1 2 1
direct
0.000 0.000 0.000
0.000 0.000 0.582
0.500 0.500 0.207
0.500 0.500 0.770
```

Values from the calculation:
SG ... P4mm
Total DFT energy (no corrections) ... -6.85 eV per atom
Offset from the most stable computed form ... 0.0411 eV/atom
Calculated formation energy ... -0.02 eV per atom


2.
DFT (PBE-GGA) results for a relaxed MnAs2Ir crystal.

Structure (POSCAR):
```
MnAs2Ir
1.0
0.000 3.059 3.059
3.059 0.000 3.059
3.059 3.059 0.000
Mn As Ir
1 2 1
direct
0.000 0.000 0.000
0.250 0.250 0.250
0.750 0.750 0.750
0.500 0.500 0.500
```

Values from the calculation:
SG ... Fm-3m
Total DFT energy (no corrections) ... -6.64 eV per atom
Offset from the most stable computed form ... 0.2560 eV/atom
Calculated formation energy ... 0.20 eV per atom


3.
DFT (PBE-GGA) results for a relaxed MnAs2Ir crystal.

Structure (POSCAR):
```
MnAs2Ir
1.0
-1.499 2.220 4.782
1.499 -2.220 4.782
1.499 2.220 -4.782
Mn As Ir
1 2 1
direct
0.000 0.000 0.000
0.235 0.735 0.500
0.515 0.515 0.000
0.731 0.231 0.500
```

Values from the calculation:
SG ... Imm2
Total DFT energy (no corrections) ... -6.73 eV per atom
Offset from the most stable computed form ... 0.1661 eV/atom
Calculated formation energy ... 0.11 eV per atom


4.
DFT (PBE-GGA) results for a relaxed MnAs2Ir crystal.

Structure (POSCAR):
```
MnAs2Ir
1.0
-1.962 1.962 4.039
1.962 -1.962 4.039
1.962 1.962 -4.039
Mn As Ir
1 2 1
direct
0.000 0.000 0.000
0.250 0.750 0.500
0.500 0.500 0.000
0.750 0.250 0.500
```

Values from the calculation:
SG ... I-4m2
Total DFT energy (no corrections) ... -6.69 eV per atom
Offset from the most stable computed form ... 0.2031 eV/atom
Calculated formation energy ... 0.14 eV per atom


5.
DFT (PBE-GGA) results for a relaxed MnAs2Ir crystal.

Structure (POSCAR):
```
MnAs2Ir
1.0
1.436 -2.450 0.000
1.436 2.450 0.000
0.000 0.000 9.814
Mn As Ir
1 2 1
direct
0.000 0.000 0.000
0.000 0.000 0.562
0.500 0.500 0.208
0.500 0.500 0.779
```

Values from the calculation:
SG ... Cmm2
Total DFT energy (no corrections) ... -6.66 eV per atom
Offset from the most stable computed form ... 0.2368 eV/atom
Calculated formation energy ... 0.18 eV per atom


6.
DFT (PBE-GGA) results for a relaxed MnAs2Ir crystal.

Structure (POSCAR):
```
MnAs2Ir
1.0
4.223 -1.693 0.000
4.223 1.693 0.000
-1.178 0.000 4.441
Mn As Ir
1 2 1
direct
0.000 0.000 0.000
0.273 0.273 0.942
0.515 0.515 0.536
0.785 0.785 0.367
```

Values from the calculation:
SG ... Cm
Total DFT energy (no corrections) ... -6.88 eV per atom
Offset from the most stable computed form ... 0.0115 eV/atom
Calculated formation energy ... -0.05 eV per atom


7.
DFT (PBE-GGA) results for a relaxed MnAsIr4 crystal.

Structure (POSCAR):
```
MnAsIr4
1.0
0.000 3.682 3.682
3.682 0.000 3.682
3.682 3.682 0.000
Mn As Ir
1 1 4
direct
0.000 0.000 0.000
0.750 0.750 0.750
0.375 0.375 0.375
0.375 0.375 0.875
0.375 0.875 0.375
0.875 0.375 0.375
```

Values from the calculation:
SG ... F-43m
Total DFT energy (no corrections) ... -7.77 eV per atom
Calculated formation energy ... 0.44 eV per atom


8.
DFT (PBE-GGA) results for a relaxed MnMoAsIr crystal.

Structure (POSCAR):
```
MnMoAsIr
1.0
0.000 3.066 3.066
3.066 0.000 3.066
3.066 3.066 0.000
Mn Mo As Ir
1 1 1 1
direct
0.000 0.000 0.000
0.250 0.250 0.250
0.500 0.500 0.500
0.750 0.750 0.750
```

Values from the calculation:
SG ... F-43m
Total DFT energy (no corrections) ... -8.43 eV per atom
Calculated formation energy ... -0.05 eV per atom


9.
DFT (PBE-GGA) results for a relaxed NaMnAs2Ir crystal.

Structure (POSCAR):
```
NaMnAs2Ir
1.0
-1.953 1.953 6.400
1.953 -1.953 6.400
1.953 1.953 -6.400
Na Mn As Ir
1 1 2 1
direct
0.000 0.000 0.000
0.750 0.250 0.500
0.367 0.367 0.000
0.633 0.633 0.000
0.250 0.750 0.500
```

Values from the calculation:
SG ... I-4m2
Total DFT energy (no corrections) ... -6.06 eV per atom
Calculated formation energy ... -0.33 eV per atom


10.
DFT (PBE-GGA) results for a relaxed MnNb2AsIr crystal.

Structure (POSCAR):
```
MnNb2AsIr
1.0
4.594 0.000 0.000
0.000 4.594 0.000
0.000 0.000 4.470
Mn Nb As Ir
1 2 1 1
direct
0.000 0.000 0.000
0.000 0.500 0.000
0.500 0.000 0.000
0.500 0.500 0.500
0.000 0.000 0.500
```

Values from the calculation:
SG ... P4/mmm
Total DFT energy (no corrections) ... -7.80 eV per atom
Calculated formation energy ... 0.76 eV per atom


11.
DFT (PBE-GGA) results for a relaxed Nd2MnAs4Ir3 crystal.

Structure (POSCAR):
```
Nd2MnAs4Ir3
1.0
4.316 0.000 0.000
0.000 4.316 0.000
0.000 0.000 10.102
Nd Mn As Ir
2 1 4 3
direct
0.000 0.500 0.244
0.500 0.000 0.756
0.000 0.000 0.500
0.000 0.000 0.000
0.000 0.500 0.635
0.500 0.000 0.365
0.500 0.500 0.000
0.000 0.500 0.880
0.500 0.000 0.120
0.500 0.500 0.500
```

Values from the calculation:
SG ... P-4m2
Total DFT energy (no corrections) ... -7.11 eV per atom
Calculated formation energy ... -0.72 eV per atom